No. 1
## ScNi2PtS (PBE-GGA)

Data for a relaxed structure of ScNi2PtS.

Structure (CIF):
```
data_ScNi2PtS
_chemical_formula_sum 'Sc1 Ni2 Pt1 S1'
_space_group_name_H-M_alt 'P 1'
_space_group_IT_number 1
_cell_length_a 4.608
_cell_length_b 4.570
_cell_length_c 4.608
_cell_angle_alpha 90.00
_cell_angle_beta 90.00
_cell_angle_gamma 90.00
loop_
_space_group_symop_operation_xyz
'x,y,z'
loop_
_atom_site_label
_atom_site_fract_x
_atom_site_fract_y
_atom_site_fract_z
Ni1 0.000 0.000 0.500
Sc1 0.500 0.500 0.500
Pt1 0.000 0.000 0.000
S1 0.000 0.500 0.000
Ni2 0.500 0.000 0.000
```

Crystal system ... tetragonal
Density of states at the Fermi level ... 6.4 states/eV/f.u.
Total moment ... 0.94 Bohr magnetons per cell
Energy relative to the elements, uncorrected ... 0.401 eV/atom
Space group ... P4/mmm (123)

No. 2
## LiTlTc2 (PBE-GGA)

Data for a relaxed structure of LiTlTc2.

Structure (CIF):
```
data_LiTlTc2
_chemical_formula_sum 'Li1 Tl1 Tc2'
_space_group_name_H-M_alt 'P 1'
_space_group_IT_number 1
_cell_length_a 5.167
_cell_length_b 5.167
_cell_length_c 2.883
_cell_angle_alpha 90.00
_cell_angle_beta 90.00
_cell_angle_gamma 121.57
loop_
_space_group_symop_operation_xyz
'x,y,z'
loop_
_atom_site_label
_atom_site_fract_x
_atom_site_fract_y
_atom_site_fract_z
Tc1 0.000 0.000 0.000
Tl1 0.500 0.000 0.500
Tc2 0.500 0.500 0.000
Li1 0.000 0.500 0.500
```

Crystal system ... orthorhombic
Density of states at the Fermi level ... 4.3 states/eV/f.u.
Total moment ... 0.00 Bohr magnetons per cell
Energy of formation from the pure elements ... 0.604 eV/atom
Space group ... Cmmm (65)

No. 3
## Hg6Sb5Br7 (PBE-GGA)

Data for a relaxed structure of Hg6Sb5Br7.

Structure (CIF):
```
data_Hg6Sb5Br7
_chemical_formula_sum 'Hg24 Sb20 Br28'
_space_group_name_H-M_alt 'P 1'
_space_group_IT_number 1
_cell_length_a 13.345
_cell_length_b 13.345
_cell_length_c 13.345
_cell_angle_alpha 90.00
_cell_angle_beta 90.00
_cell_angle_gamma 90.00
loop_
_space_group_symop_operation_xyz
'x,y,z'
loop_
_atom_site_label
_atom_site_fract_x
_atom_site_fract_y
_atom_site_fract_z
Sb1 0.500 0.500 0.500
Sb2 0.634 0.366 0.866
Hg1 0.946 0.184 0.202
Br1 0.000 0.500 0.500
Hg2 0.316 0.702 0.946
Hg3 0.202 0.554 0.684
Br2 0.702 0.044 0.051
Sb3 0.134 0.134 0.134
Br3 0.298 0.956 0.949
Hg4 0.446 0.184 0.298
Sb4 0.000 0.000 0.500
Hg5 0.702 0.554 0.816
Sb5 0.240 0.740 0.760
Hg6 0.054 0.816 0.798
Hg7 0.946 0.316 0.702
Sb6 0.866 0.866 0.866
Sb7 0.260 0.260 0.260
Sb8 0.000 0.500 0.000
Br4 0.551 0.798 0.956
Br5 0.544 0.449 0.298
Br6 0.956 0.949 0.298
Sb9 0.366 0.634 0.134
Hg8 0.684 0.202 0.554
Hg9 0.798 0.054 0.816
Hg10 0.554 0.816 0.702
Br7 0.544 0.051 0.798
Hg11 0.298 0.446 0.184
Br8 0.702 0.456 0.551
Hg12 0.702 0.946 0.316
Br9 0.044 0.449 0.202
Hg13 0.554 0.684 0.202
Sb10 0.240 0.760 0.260
Hg14 0.816 0.798 0.054
Hg15 0.202 0.946 0.184
Sb11 0.740 0.740 0.740
Hg16 0.054 0.684 0.298
Br10 0.449 0.298 0.544
Br11 0.500 0.500 0.000
Hg17 0.684 0.298 0.054
Sb12 0.760 0.260 0.240
Br12 0.456 0.949 0.202
Sb13 0.866 0.634 0.366
Sb14 0.500 0.000 0.000
Br13 0.202 0.456 0.949
Sb15 0.366 0.866 0.634
Br14 0.051 0.702 0.044
Br15 0.044 0.051 0.702
Br16 0.000 0.000 0.000
Br17 0.551 0.702 0.456
Sb16 0.134 0.366 0.634
Sb17 0.760 0.240 0.740
Br18 0.456 0.551 0.702
Br19 0.798 0.544 0.051
Hg18 0.184 0.202 0.946
Hg19 0.316 0.798 0.446
Br20 0.449 0.202 0.044
Br21 0.202 0.044 0.449
Br22 0.949 0.298 0.956
Sb18 0.260 0.240 0.760
Sb19 0.740 0.760 0.240
Br23 0.298 0.544 0.449
Br24 0.949 0.202 0.456
Sb20 0.634 0.134 0.366
Br25 0.956 0.551 0.798
Hg20 0.816 0.702 0.554
Hg21 0.446 0.316 0.798
Br26 0.500 0.000 0.500
Br27 0.798 0.956 0.551
Br28 0.051 0.798 0.544
Hg22 0.298 0.054 0.684
Hg23 0.184 0.298 0.446
Hg24 0.798 0.446 0.316
```

Crystal system ... cubic
Total moment ... 0.00 Bohr magnetons per cell
Energy relative to the elements, uncorrected ... -0.337 eV/atom
Space group ... Pa-3 (205)

No. 4
## BaBeRh2 (PBE-GGA)

Data for a relaxed structure of BaBeRh2.

Structure (CIF):
```
data_BaBeRh2
_chemical_formula_sum 'Ba1 Be1 Rh2'
_space_group_name_H-M_alt 'P 1'
_space_group_IT_number 1
_cell_length_a 4.108
_cell_length_b 4.054
_cell_length_c 5.158
_cell_angle_alpha 90.00
_cell_angle_beta 90.00
_cell_angle_gamma 90.00
loop_
_space_group_symop_operation_xyz
'x,y,z'
loop_
_atom_site_label
_atom_site_fract_x
_atom_site_fract_y
_atom_site_fract_z
Rh1 0.000 0.875 0.031
Rh2 0.500 0.375 0.047
Ba1 0.000 0.375 0.531
Be1 0.500 0.875 0.891
```

Crystal system ... orthorhombic
Density of states at the Fermi level ... 3.8 states/eV/f.u.
Total moment ... 0.00 Bohr magnetons per cell
Energy of formation from the pure elements ... -0.067 eV/atom
Space group ... Pmm2 (25)

Question: Look up the total moment of the third one.
Answer: 0.00 Bohr magnetons per cell